Material: Hf3Nb2Ni2
Method: DFT, PBE-GGA
State: relaxed

abc: 7.6761 7.6761 7.6761
angles: 34.10 34.10 34.10
Closest atoms and distances in Å follow each position.
Positions (direct):
Ni1 0.5138 0.5138 0.5138  5 Hf 2.64-2.81, 3 Nb 2.67
Ni2 0.0206 0.0206 0.0206  7 Hf 2.68-2.83, 1 Nb 2.86
Hf1 0.6357 0.6357 0.6357  4 Ni 2.64-2.83, 1 Nb 2.90
Hf2 0.3855 0.3855 0.3855  4 Ni 2.69-2.78, 3 Nb 2.82
Hf3 0.8970 0.8970 0.8970  4 Ni 2.68-2.81, 1 Nb 2.76
Nb1 0.7698 0.7698 0.7698  5 Hf 2.76-2.90, 3 Nb 2.81
Nb2 0.1526 0.1526 0.1526  4 Ni 2.67-2.86, 3 Nb 2.81

Calculated values
energy of formation from the pure elements = -34 meV per atom
crystal system = trigonal
volume = 18.1 Å³ per atom
total moment = 0.16 Bohr magnetons per cell
E = -8.78 eV/atom